{"formula": "TbTmZnRh", "functional": "GGA-PBE", "state": "optimized geometry", "lattice_angstrom": [[4.912, 0.000, 0.000], [2.456, 4.254, 0.000], [2.456, 1.418, 4.010]], "species": ["Rh", "Zn", "Tm", "Tb"], "fractional_positions": [[0.500, 0.500, 0.500], [0.000, 0.000, 0.000], [0.250, 0.250, 0.250], [0.750, 0.750, 0.750]], "space_group": "F-43m, No. 216", "volume_a3_per_cell": 83.8, "formation_enthalpy_0k_ev_per_atom": -0.6205, "polymorph_energy_mev_per_atom": 10}

=====

{"formula": "MgMn4Hg", "functional": "GGA-PBE", "state": "optimized geometry", "lattice_angstrom": [[0.000, 3.503, 3.503], [3.503, 0.000, 3.503], [3.503, 3.503, 0.000]], "species": ["Mg", "Mn", "Mn", "Mn", "Mn", "Hg"], "fractional_positions": [[0.000, 0.000, 0.000], [0.879, 0.374, 0.374], [0.374, 0.374, 0.879], [0.374, 0.879, 0.374], [0.374, 0.374, 0.374], [0.750, 0.750, 0.750]], "space_group": "F-43m, No. 216", "volume_a3_per_cell": 86.0, "formation_enthalpy_0k_ev_per_atom": 0.3703}

=====

{"formula": "AlSiH11C3O", "functional": "GGA-PBE", "state": "optimized geometry", "lattice_angstrom": [[8.187, 0.000, 0.000], [0.000, 9.956, -0.035], [-4.094, -1.906, 9.774]], "species": ["Al", "Al", "Al", "Al", "C", "C", "C", "C", "C", "C", "C", "C", "C", "C", "C", "C", "H", "H", "H", "H", "H", "H", "H", "H", "H", "H", "H", "H", "H", "H", "H", "H", "H", "H", "H", "H", "H", "H", "H", "H", "H", "H", "H", "H", "H", "H", "H", "H", "H", "H", "H", "H", "H", "H", "H", "H", "H", "H", "H", "H", "O", "O", "O", "O", "Si", "Si", "Si", "Si"], "fractional_positions": [[0.602, 0.886, 0.990], [0.612, 0.614, 0.010], [0.398, 0.114, 0.010], [0.388, 0.386, 0.990], [0.968, 0.012, 0.288], [0.679, 0.488, 0.712], [0.032, 0.988, 0.712], [0.321, 0.512, 0.288], [0.892, 0.294, 0.219], [0.673, 0.206, 0.781], [0.108, 0.706, 0.781], [0.327, 0.794, 0.219], [0.707, 0.179, 0.386], [0.321, 0.321, 0.614], [0.293, 0.821, 0.614], [0.679, 0.679, 0.386], [0.751, 0.892, 0.929], [0.822, 0.608, 0.071], [0.249, 0.108, 0.071], [0.178, 0.392, 0.929], [0.640, 0.798, 0.114], [0.526, 0.702, 0.886], [0.360, 0.202, 0.886], [0.474, 0.298, 0.114], [0.020, 0.987, 0.208], [0.813, 0.513, 0.792], [0.980, 0.013, 0.792], [0.187, 0.487, 0.208], [0.919, 0.916, 0.303], [0.616, 0.584, 0.697], [0.081, 0.084, 0.697], [0.384, 0.416, 0.303], [0.079, 0.058, 0.384], [0.695, 0.442, 0.616], [0.921, 0.942, 0.616], [0.305, 0.558, 0.384], [0.798, 0.374, 0.195], [0.604, 0.126, 0.805], [0.202, 0.626, 0.805], [0.396, 0.874, 0.195], [0.940, 0.268, 0.136], [0.804, 0.232, 0.864], [0.060, 0.732, 0.864], [0.196, 0.768, 0.136], [0.006, 0.339, 0.313], [0.693, 0.161, 0.687], [0.994, 0.661, 0.687], [0.307, 0.839, 0.313], [0.602, 0.251, 0.361], [0.241, 0.249, 0.639], [0.398, 0.749, 0.639], [0.759, 0.751, 0.361], [0.814, 0.227, 0.483], [0.331, 0.273, 0.517], [0.186, 0.773, 0.517], [0.669, 0.727, 0.483], [0.652, 0.086, 0.402], [0.250, 0.414, 0.598], [0.348, 0.914, 0.598], [0.750, 0.586, 0.402], [0.622, 0.064, 0.101], [0.521, 0.436, 0.899], [0.378, 0.936, 0.899], [0.479, 0.564, 0.101], [0.794, 0.138, 0.247], [0.548, 0.362, 0.753], [0.206, 0.862, 0.753], [0.452, 0.638, 0.247]], "space_group": "C2/c, No. 15", "volume_a3_per_cell": 796.1, "total_energy_ev_per_atom": -5.08}

=====

{"formula": "ZrSc2TlCo", "functional": "GGA-PBE", "state": "optimized geometry", "lattice_angstrom": [[5.218, 0.000, 0.000], [0.000, 5.370, 0.000], [0.000, 0.000, 5.218]], "species": ["Sc", "Sc", "Tl", "Co", "Zr"], "fractional_positions": [[0.000, 0.000, 0.500], [0.500, 0.000, 0.000], [0.000, 0.000, 0.000], [0.500, 0.500, 0.500], [0.000, 0.500, 0.000]], "space_group": "P4/mmm, No. 123", "volume_a3_per_cell": 146.2, "formation_enthalpy_0k_ev_per_atom": 1.3200, "polymorph_energy_mev_per_atom": 1397}